1.
Below is a PBEsol-optimized structure of KLuMo2O8, with properties calculated at the meta-GGA SCAN level.

Output
The density of states at the Fermi level is 0.00 states/eV/cell.

Lattice parameters (Å, degrees): 7.274 7.274 7.546 61.71 61.71 87.86
Element x y z (fractional)
O 0.389 0.225 0.444
O 0.586 0.366 0.968
O 0.205 0.042 0.308
O 0.225 0.389 0.944
Mo 0.304 0.299 0.242
O 0.611 0.775 0.556
O 0.634 0.414 0.532
O 0.958 0.795 0.192
O 0.617 0.934 0.118
Mo 0.299 0.304 0.742
Lu 0.770 0.230 0.750
K 0.198 0.802 0.750
O 0.775 0.611 0.056
O 0.042 0.205 0.808
O 0.795 0.958 0.692
O 0.066 0.383 0.382
Mo 0.696 0.701 0.758
O 0.414 0.634 0.032
Lu 0.230 0.770 0.250
Mo 0.701 0.696 0.258
K 0.802 0.198 0.250
O 0.366 0.586 0.468
O 0.934 0.617 0.618
O 0.383 0.066 0.882

2.
Below is a PBEsol-optimized structure of Fe2SiW, with properties calculated at the meta-GGA SCAN level.

Output
The density of states at the Fermi level is 3.15 states/eV/cell.

Lattice parameters (Å, degrees): 2.627 4.709 4.745 117.00 101.59 98.79
Site moments in Bohr magnetons follow the coordinates.
Element x y z (fractional)
Si 0.500 0.000 0.000  -0.02
W 0.000 0.500 0.000  -0.17
Fe 0.000 0.000 0.500  2.21
Fe 0.500 0.500 0.500  2.21

Number 1: formation energy without anion corrections -2.66 eV/atom, calculated total energy -17.930 eV per atom. Number 2: formation energy without anion corrections 0.06 eV/atom, calculated total energy -28.931 eV per atom.